1.
Compound: CaTl2Pb
Source: Alexandria via LeMat-Bulk
Functional: meta-GGA SCAN
Structure: single point on PBEsol structure

The structure in POSCAR format:
```
CaTl2Pb
1.0
-1.044 4.577 0.052
-3.938 -0.871 -2.404
0.010 -2.468 5.463
Pb Tl Ca
1 2 1
direct
0.750 0.250 0.500
0.000 0.000 0.000
0.250 0.750 0.500
0.500 0.500 0.000
```

Computed properties:
ΔE_f   -350 meV/atom

2.
Compound: Cr2RuRh
Source: Alexandria via LeMat-Bulk
Functional: meta-GGA SCAN
Structure: single point on PBEsol structure

The structure in POSCAR format:
```
Cr2RuRh
1.0
2.638 0.000 0.000
0.000 3.909 0.000
-1.319 0.000 4.803
Ru Rh Cr
1 1 2
direct
0.414 0.500 0.829
0.076 0.000 0.153
0.811 0.000 0.621
0.682 0.500 0.365
```

Computed properties:
ΔE_f   25 meV/atom

3.
Compound: MgZrRe4
Source: Alexandria via LeMat-Bulk
Functional: meta-GGA SCAN
Structure: single point on PBEsol structure

The structure in POSCAR format:
```
MgZrRe4
1.0
5.228 0.000 0.000
2.614 4.528 0.000
2.614 1.509 4.269
Re Mg Zr
4 1 1
direct
0.375 0.375 0.375
0.375 0.375 0.876
0.876 0.375 0.375
0.375 0.876 0.375
0.000 0.000 0.000
0.750 0.750 0.750
```

Computed properties:
ΔE_f   -230 meV/atom

4.
Compound: CdAgI2N
Source: Alexandria via LeMat-Bulk
Functional: meta-GGA SCAN
Structure: single point on PBEsol structure

The structure in POSCAR format:
```
CdAgI2N
1.0
-0.050 3.196 -2.657
-3.645 -2.988 -3.525
-4.621 2.288 2.839
I N Ag Cd
2 1 1 1
direct
0.000 0.000 0.500
0.000 0.500 0.000
0.500 0.000 0.000
0.500 0.500 0.500
0.000 0.000 0.000
```

Computed properties:
Raw formation energy   3.21 eV/f.u.

5.
Compound: BaBeRe2
Source: Alexandria via LeMat-Bulk
Functional: meta-GGA SCAN
Structure: single point on PBEsol structure

The structure in POSCAR format:
```
BaBeRe2
1.0
-2.840 -0.942 0.698
1.093 -2.789 0.683
1.065 2.209 7.315
Re Ba Be
2 1 1
direct
0.000 0.000 0.649
0.000 0.000 0.351
0.500 0.500 0.000
0.500 0.500 0.500
```

Computed properties:
ΔE_f   781 meV/atom

6.
Compound: GeB3Cl
Source: Alexandria via LeMat-Bulk
Functional: meta-GGA SCAN
Structure: single point on PBEsol structure

The structure in POSCAR format:
```
GeB3Cl
1.0
3.861 0.000 0.000
0.000 3.861 0.000
0.000 0.000 3.861
Ge B Cl
1 3 1
direct
0.500 0.500 0.500
0.000 0.500 0.000
0.000 0.000 0.500
0.500 0.000 0.000
0.000 0.000 0.000
```

Computed properties:
Raw formation energy   12.05 eV/f.u.

7.
Compound: AlFePt2
Source: Alexandria via LeMat-Bulk
Functional: meta-GGA SCAN
Structure: single point on PBEsol structure

The structure in POSCAR format:
```
AlFePt2
1.0
3.901 0.000 0.000
0.000 3.901 0.000
-1.950 -1.950 3.621
Fe Pt Al
1 2 1
direct
0.000 0.000 0.000
0.750 0.250 0.500
0.250 0.750 0.500
0.500 0.500 0.000
```

Computed properties:
ΔE_f   -839 meV/atom

8.
Compound: Hf3SbC
Source: Alexandria via LeMat-Bulk
Functional: meta-GGA SCAN
Structure: single point on PBEsol structure

The structure in POSCAR format:
```
Hf3SbC
1.0
-1.980 -2.886 2.785
1.520 -3.414 -2.457
3.711 -0.141 2.492
Sb C Hf
1 1 3
direct
0.500 0.500 0.500
0.000 0.000 0.000
0.000 0.500 0.000
0.000 0.000 0.500
0.500 0.000 0.000
```

Computed properties:
Raw formation energy   -2.00 eV/f.u.

Calculated total energy, record by record: -231.56, -105.27, -321.45, -141.35, -182.98, -37.31, -169.62, -237.38 eV for the cell shown